This record from the Alexandria database describes a geometry-optimized La3Pm2Er8 structure. The functional is PBE.

## Properties
E: -4.4160 eV per atom
N(E_F): 24.25 states/eV/f.u.

a b c (Å): 20.4172 7.7160 5.6290
angles (deg): 90.00 90.12 90.00
With the nearest neighbours (Å) after each atom.
Space group C2/m (No. 12)
One atom of each set of equivalent atoms:
La1 0.0000 0.0000 0.0000 x2  4 Er 3.17
La2 0.0000 0.3001 0.5000 x4  1 La 3.08
Pm1 0.2410 0.0000 0.9969 x4  8 Er 3.37-3.57
Er1 0.1094 0.2912 0.0007 x8  1 La 3.17, 3 Er 3.22-3.46, 2 Pm 3.45-3.50
Er2 0.1345 0.0000 0.4987 x4  2 Pm 3.54-3.57, 4 La 3.59-3.94, 6 Er 3.63-3.92
Er3 0.1683 0.5000 0.5022 x4  2 Pm 3.37, 4 Er 3.45-3.46, 2 La 3.77